Entry 1:
Entry from the Alexandria database: an optimized crystal structure of MnAgHgAu (PBE).

Output
DOS at the Fermi energy: 8.01 states/eV/cell
Formation enthalpy at 0 K: 110 meV/atom

Geometry as CIF:
```
data_MnAgHgAu
_cell_length_a 6.632
_cell_length_b 6.632
_cell_length_c 6.632
_cell_angle_alpha 90.00
_cell_angle_beta 90.00
_cell_angle_gamma 90.00
_symmetry_space_group_name_H-M 'F -4 3 m'
_symmetry_Int_Tables_number 216
_symmetry_space_group_name_Hall 'F -4 2 3'
loop_
_atom_site_label
_atom_site_type_symbol
_atom_site_fract_x
_atom_site_fract_y
_atom_site_fract_z
Mn1 Mn 0.000 0.000 0.000
Ag1 Ag 0.000 0.000 0.500
Hg1 Hg 0.250 0.250 0.250
Au1 Au 0.250 0.250 0.750
```

Entry 2:
Entry from the Alexandria database: an optimized crystal structure of Nd4AgHgAu2 (PBE).

Output
DOS at the Fermi energy: 20.66 states/eV/cell
Formation enthalpy at 0 K: -559 meV/atom

Geometry as CIF:
```
data_Nd4AgHgAu2
_cell_length_a 5.3098
_cell_length_b 5.3098
_cell_length_c 25.9983
_cell_angle_alpha 90.00
_cell_angle_beta 90.00
_cell_angle_gamma 120.00
_symmetry_space_group_name_H-M 'R -3 m'
_symmetry_Int_Tables_number 166
_symmetry_space_group_name_Hall '-R 3 2"'
loop_
_atom_site_label
_atom_site_type_symbol
_atom_site_fract_x
_atom_site_fract_y
_atom_site_fract_z
Nd1 Nd 0.0000 0.0000 0.1234
Nd2 Nd 0.0000 0.0000 0.3736
Ag1 Ag 0.0000 0.0000 0.0000
Hg1 Hg 0.0000 0.0000 0.5000
Au1 Au 0.0000 0.0000 0.2497
```

Entry 3:
Entry from the Alexandria database: an optimized crystal structure of Nd4AgHg2Au (PBE).

Output
DOS at the Fermi energy: 21.14 states/eV/cell
Formation enthalpy at 0 K: -489 meV/atom

Geometry as CIF:
```
data_Nd4AgHg2Au
_cell_length_a 5.3476
_cell_length_b 5.3476
_cell_length_c 26.2757
_cell_angle_alpha 90.00
_cell_angle_beta 90.00
_cell_angle_gamma 120.00
_symmetry_space_group_name_H-M 'R -3 m'
_symmetry_Int_Tables_number 166
_symmetry_space_group_name_Hall '-R 3 2"'
loop_
_atom_site_label
_atom_site_type_symbol
_atom_site_fract_x
_atom_site_fract_y
_atom_site_fract_z
Nd1 Nd 0.0000 0.0000 0.1223
Nd2 Nd 0.0000 0.0000 0.3727
Ag1 Ag 0.0000 0.0000 0.5000
Hg1 Hg 0.0000 0.0000 0.2456
Au1 Au 0.0000 0.0000 0.0000
```